# RbTiMnTe4 PBE-GGA optimized geometry
# magnetic moment	0.57	μB/atom
# space-group type	P2_1/m
# formation energy from raw total energies	-3.41	eV per formula unit
# Fermi-level density of states	3.8	states/eV/f.u.
# crystal system	monoclinic
data_RbTiMnTe4
_chemical_formula_sum 'Rb2 Ti2 Mn2 Te8'
_symmetry_space_group_name_H-M 'P 1'
_symmetry_Int_Tables_number 1
_cell_length_a 6.757
_cell_length_b 7.505
_cell_length_c 11.108
_cell_angle_alpha 90.00
_cell_angle_beta 122.55
_cell_angle_gamma 90.00
loop_
_symmetry_equiv_pos_as_xyz
'x,y,z'
loop_
_atom_site_label
_atom_site_type_symbol
_atom_site_fract_x
_atom_site_fract_y
_atom_site_fract_z
_atom_site_occupancy
Mn1 Mn 0.784 0.250 0.650 1
Te1 Te 0.917 0.005 0.319 1
Ti1 Ti 0.220 0.250 0.553 1
Te2 Te 0.083 0.505 0.681 1
Mn2 Mn 0.216 0.750 0.350 1
Ti2 Ti 0.780 0.750 0.447 1
Rb1 Rb 0.676 0.750 0.960 1
Te3 Te 0.362 0.750 0.176 1
Te4 Te 0.917 0.495 0.319 1
Te5 Te 0.577 0.750 0.604 1
Te6 Te 0.638 0.250 0.824 1
Te7 Te 0.423 0.250 0.396 1
Te8 Te 0.083 0.995 0.681 1
Rb2 Rb 0.324 0.250 0.040 1

***

# InSn3F PBE-GGA optimized geometry
# magnetic moment	0.00	μB/atom
# relative energy among the computed polymorphs	0.000	eV per atom
# space-group type	Pm-3m
# formation energy from raw total energies	-1.70	eV per formula unit
# Fermi-level density of states	3.2	states/eV/f.u.
# crystal system	cubic
data_InSn3F
_chemical_formula_sum 'In1 Sn3 F1'
_symmetry_space_group_name_H-M 'P 1'
_symmetry_Int_Tables_number 1
_cell_length_a 5.052
_cell_length_b 5.052
_cell_length_c 5.052
_cell_angle_alpha 90.00
_cell_angle_beta 90.00
_cell_angle_gamma 90.00
loop_
_symmetry_equiv_pos_as_xyz
'x,y,z'
loop_
_atom_site_label
_atom_site_type_symbol
_atom_site_fract_x
_atom_site_fract_y
_atom_site_fract_z
_atom_site_occupancy
Sn1 Sn 0.000 0.500 0.000 1
F1 F 0.000 0.000 0.000 1
Sn2 Sn 0.500 0.000 0.000 1
Sn3 Sn 0.000 0.000 0.500 1
In1 In 0.500 0.500 0.500 1

***

# K2HgW PBE-GGA optimized geometry
# magnetic moment	0.01	μB/atom
# space-group type	P4/mmm
# Fermi-level density of states	5.1	states/eV/f.u.
# crystal system	tetragonal
# electronic total energy	-2.8161	eV per atom
data_K2HgW
_chemical_formula_sum 'K2 Hg1 W1'
_symmetry_space_group_name_H-M 'P 1'
_symmetry_Int_Tables_number 1
_cell_length_a 2.963
_cell_length_b 2.963
_cell_length_c 11.891
_cell_angle_alpha 90.00
_cell_angle_beta 90.00
_cell_angle_gamma 90.00
loop_
_symmetry_equiv_pos_as_xyz
'x,y,z'
loop_
_atom_site_label
_atom_site_type_symbol
_atom_site_fract_x
_atom_site_fract_y
_atom_site_fract_z
_atom_site_occupancy
K1 K 0.000 0.000 0.491 1
W1 W 0.500 0.500 0.250 1
Hg1 Hg 0.500 0.500 0.750 1
K2 K 0.000 0.000 0.009 1

***

# Pm6SbI8 PBE-GGA optimized geometry
# magnetic moment	0.00	μB/atom
# space-group type	R-3
# formation energy from raw total energies	-17.27	eV per formula unit
# Fermi-level density of states	8.6	states/eV/f.u.
# crystal system	trigonal
data_Pm6SbI8
_chemical_formula_sum 'Pm6 Sb1 I8'
_symmetry_space_group_name_H-M 'P 1'
_symmetry_Int_Tables_number 1
_cell_length_a 7.751
_cell_length_b 7.751
_cell_length_c 12.188
_cell_angle_alpha 71.46
_cell_angle_beta 71.46
_cell_angle_gamma 60.00
loop_
_symmetry_equiv_pos_as_xyz
'x,y,z'
loop_
_atom_site_label
_atom_site_type_symbol
_atom_site_fract_x
_atom_site_fract_y
_atom_site_fract_z
_atom_site_occupancy
I1 I 0.107 0.772 0.678 1
I2 I 0.893 0.228 0.322 1
Pm1 Pm 0.274 0.950 0.149 1
I3 I 0.667 0.667 0.000 1
I4 I 0.442 0.107 0.678 1
Pm2 Pm 0.050 0.373 0.851 1
Pm3 Pm 0.950 0.627 0.149 1
Pm4 Pm 0.373 0.726 0.851 1
I5 I 0.772 0.442 0.678 1
Pm5 Pm 0.726 0.050 0.851 1
I6 I 0.228 0.558 0.322 1
I7 I 0.333 0.333 0.000 1
Sb1 Sb 0.000 0.000 0.000 1
I8 I 0.558 0.893 0.322 1
Pm6 Pm 0.627 0.274 0.149 1